Entry from Alexandria: a geometry-optimized Sr2BeIr structure (PBE).

Unit cell a=3.268 b=3.434 c=8.838 alpha=90.00 beta=90.00 gamma=90.00
Element x y z (fractional)
Sr: 0.000 0.000 0.000
Sr: 0.500 0.500 0.415
Be: 0.500 0.500 0.737
Ir: 0.000 0.000 0.673

crystal system	orthorhombic
DFT formation energy	34	meV/atom
space-group type	Pmm2 (25)
electronic total energy	-3.9542	eV per atom
N(E_F)	0.728	states/eV per atom


Entry from Alexandria: a geometry-optimized SrBe2Ir structure (PBE).

Unit cell a=3.109 b=3.109 c=6.920 alpha=90.00 beta=90.00 gamma=90.00
Element x y z (fractional)
Sr: 0.000 0.000 0.000
Be: 0.000 0.000 0.534
Be: 0.500 0.500 0.347
Ir: 0.500 0.500 0.660

crystal system	tetragonal
distance to the lowest polymorph of the same formula	0.421	eV/atom
DFT formation energy	105	meV/atom
space-group type	P4mm (99)
electronic total energy	-4.3937	eV per atom
N(E_F)	0.478	states/eV per atom


Entry from Alexandria: a geometry-optimized SrBeIr2W structure (PBE).

Unit cell a=4.858 b=4.858 c=4.264 alpha=90.00 beta=90.00 gamma=90.00
Element x y z (fractional)
Sr: 0.000 0.000 0.000
Be: 0.000 0.000 0.500
Ir: 0.000 0.500 0.000
Ir: 0.500 0.000 0.000
W: 0.500 0.500 0.500

crystal system	tetragonal
DFT formation energy	2984	meV/atom
space-group type	P4/mmm (123)
electronic total energy	-4.2325	eV per atom
N(E_F)	2.405	states/eV per atom


Entry from Alexandria: a geometry-optimized SrBeZn2Ir2 structure (PBE).

Unit cell a=4.341 b=4.341 c=5.656 alpha=90.00 beta=90.00 gamma=90.00
Element x y z (fractional)
Sr: 0.000 0.000 0.000
Be: 0.000 0.000 0.500
Zn: 0.500 0.500 0.240
Zn: 0.500 0.500 0.760
Ir: 0.000 0.500 0.500
Ir: 0.500 0.000 0.500

crystal system	tetragonal
DFT formation energy	-325	meV/atom
space-group type	P4/mmm (123)
electronic total energy	-4.6051	eV per atom
N(E_F)	0.269	states/eV per atom


Entry from Alexandria: a geometry-optimized SrBeZn2Ir structure (PBE).

Unit cell a=4.863 b=4.863 c=4.394 alpha=90.00 beta=90.00 gamma=90.00
Element x y z (fractional)
Sr: 0.000 0.000 0.000
Be: 0.500 0.500 0.000
Zn: 0.000 0.500 0.500
Zn: 0.500 0.000 0.500
Ir: 0.500 0.500 0.500

crystal system	tetragonal
DFT formation energy	-244	meV/atom
space-group type	P4/mmm (123)
electronic total energy	-3.6075	eV per atom
N(E_F)	0.317	states/eV per atom


Entry from Alexandria: a geometry-optimized TaBe17Ir structure (PBE).

Unit cell a=5.511 b=5.511 c=5.511 alpha=83.00 beta=83.00 gamma=83.00
Element x y z (fractional)
Ta: 0.000 0.000 0.000
Be: 0.013 0.013 0.491
Be: 0.013 0.491 0.013
Be: 0.151 0.672 0.672
Be: 0.312 0.312 0.800
Be: 0.312 0.800 0.312
Be: 0.364 0.654 0.962
Be: 0.364 0.962 0.654
Be: 0.491 0.013 0.013
Be: 0.557 0.557 0.557
Be: 0.654 0.364 0.962
Be: 0.654 0.962 0.364
Be: 0.672 0.151 0.672
Be: 0.672 0.672 0.151
Be: 0.758 0.758 0.758
Be: 0.800 0.312 0.312
Be: 0.962 0.364 0.654
Be: 0.962 0.654 0.364
Ir: 0.325 0.325 0.325

crystal system	trigonal
DFT formation energy	-198	meV/atom
space-group type	R3m (160)
electronic total energy	-4.6225	eV per atom
N(E_F)	0.180	states/eV per atom


Copy entry 3 word for word.
Entry from Alexandria: a geometry-optimized SrBeIr2W structure (PBE).

Unit cell a=4.858 b=4.858 c=4.264 alpha=90.00 beta=90.00 gamma=90.00
Element x y z (fractional)
Sr: 0.000 0.000 0.000
Be: 0.000 0.000 0.500
Ir: 0.000 0.500 0.000
Ir: 0.500 0.000 0.000
W: 0.500 0.500 0.500

crystal system	tetragonal
DFT formation energy	2984	meV/atom
space-group type	P4/mmm (123)
electronic total energy	-4.2325	eV per atom
N(E_F)	2.405	states/eV per atom